A geometry-optimized Nd10In3Sb3 structure, computed with PBE.

The raw formation energy is -656 meV per atom.

The space group is P-62m (No. 189) and the conventional cell measures 9.3158, 9.3158 and 6.7611 Å, with angles of 90.00, 90.00 and 120.00 degrees. The inequivalent atoms are Nd at (0.0000, 0.2421, 0.0000), Nd at (0.0000, 0.7602, 0.5000), Nd at (0.3333, 0.6667, 0.2458), In at (0.0000, 0.3966, 0.5000) and Sb at (0.0000, 0.6099, 0.0000).


A geometry-optimized NaZnF structure, computed with PBE.

The raw formation energy is -1327 meV per atom.

The space group is Amm2 (No. 38) and the conventional cell measures 12.030, 3.294 and 5.718 Å, with angles of 90.00, 90.00 and 90.00 degrees. The inequivalent atoms are Na at (0.236, 0.000, 0.000), Zn at (0.000, 0.000, 0.335), Zn at (0.500, 0.000, 0.332) and F at (0.317, 0.000, 0.333).


A geometry-optimized AcSmTeS structure, computed with PBE.

The raw formation energy is -1472 meV per atom.

The space group is P4/nmm (No. 129, origin choice 2) and the conventional cell measures 4.976, 4.976 and 10.439 Å, with angles of 90.00, 90.00 and 90.00 degrees. The inequivalent atoms are Ac at (0.250, 0.250, 0.145), Sm at (0.250, 0.750, 0.500), Te at (0.250, 0.250, 0.690) and S at (0.250, 0.750, 0.000).


A geometry-optimized BeCu2Pt3 structure, computed with PBE.

Its formation energy is -0.341 eV/atom.

The space group is Cmmm (No. 65) and the conventional cell measures 4.064, 12.220 and 6.356 Å, with angles of 90.00, 90.00 and 90.00 degrees. The inequivalent atoms are Be at (0.000, 0.163, 0.000), Cu at (0.000, 0.167, 0.500), Cu at (0.000, 0.500, 0.000), Cu at (0.000, 0.500, 0.500), Pt at (0.000, 0.000, 0.239) and Pt at (0.000, 0.329, 0.227).


A geometry-optimized Nd8Rh3I4N structure, computed with PBE.

The raw formation energy is -939 meV per atom.

The space group is C2/m (No. 12) and the conventional cell measures 14.254, 8.179 and 9.403 Å, with angles of 90.00, 120.46 and 90.00 degrees. The inequivalent atoms are Nd at (0.018, 0.232, 0.324), Nd at (0.218, 0.000, 0.678), Nd at (0.230, 0.500, 0.688), Rh at (0.000, 0.500, 0.500), Rh at (0.250, 0.250, 0.500), I at (0.000, 0.000, 0.000), I at (0.000, 0.500, 0.000), I at (0.250, 0.250, 0.000) and N at (0.000, 0.000, 0.500).


A geometry-optimized PrBi2Pb structure, computed with PBE.

Its formation energy is -0.452 eV/atom. For the excess energy over the best structure of this formula in the dataset, the calculation gives 0.013 eV per formula unit.

The space group is Imma (No. 74) and the conventional cell measures 7.104, 8.640 and 8.173 Å, with angles of 90.00, 90.00 and 90.00 degrees. The inequivalent atoms are Pr at (0.000, 0.250, 0.038), Bi at (0.250, 0.027, 0.750) and Pb at (0.000, 0.250, 0.477).